Computed, not measured: Be2AgP after structural relaxation at the PBE level of DFT.

Lattice parameters (Å, degrees): 3.0969 3.0962 5.1414 90.00 90.00 90.00
With the nearest neighbours (Å) after each atom.
Atoms (fractional coordinates):
1 Ag 0.5000 0.5000 0.7500  2 P 2.57, 8 Be 2.68
2 Be 0.0000 0.0000 0.0504  1 Be 2.05
3 Be 0.0000 0.0000 0.4496  1 Be 2.05
4 P 0.5000 0.5000 0.2500  8 Be 2.42, 2 Ag 2.57

## Properties
DOS at the Fermi energy: 1.32 states/eV per cell
Symmetry: P4/mmm, No. 123
E_tot: -3.67 eV per atom
Crystal system: tetragonal
Energy of formation from the pure elements: 255 meV per atom